Computed, not measured: Ce8Te3P4 after structural relaxation at the PBE-GGA level of DFT.

As for the density of states at the Fermi level: 103.14 states/eV/cell. The total energy is -6.4683 eV/atom. The value obtained for the uncorrected formation energy is -118.93 kJ per mole of atoms. The crystal system is monoclinic. For the total magnetization, the calculation gives 0.569 μB/atom.

The structure belongs to space group C2/m (No. 12); the cell edges are 12.060, 12.080 and 8.454 Å and the angles 90.00°, 134.30° and 90.00°. The asymmetric unit holds Ce at (0.000, 0.237, 0.000), Ce at (0.000, 0.238, 0.500), Ce at (0.222, 0.000, 0.471), Ce at (0.229, 0.000, 0.977), Te at (0.000, 0.500, 0.500), Te at (0.250, 0.250, 0.500), P at (0.000, 0.000, 0.000), P at (0.000, 0.000, 0.500) and P at (0.250, 0.250, 0.000).